Entry 1:
VASP calculation (PBE) on a relaxed structure of Fe2RuBr.

Computed properties:
Uncorrected energy = -25.56 eV/f.u.
Calculated volume = 69 Å³ per cell
D(E_F) = 1.19 states/eV/atom
Relative energy among the computed polymorphs = 154 meV per atom
Theoretical density = 7.0 g/cm³
E_form (uncorrected) = 0.58 eV per atom

Cell: 4.0997 4.0997 6.5270 Å, 110.55 110.55 42.99°
Fractional coordinates of all 4 atoms:
Fe 0.0000 0.0000 0.0000
Fe 0.2289 0.2289 0.8062
Ru 0.4588 0.4588 0.6496
Br 0.8244 0.8244 0.2872



Entry 2:
VASP calculation (PBE) on a relaxed structure of FeRu2Br.

Computed properties:
Uncorrected energy = -26.14 eV/f.u.
Calculated volume = 61 Å³ per cell
D(E_F) = 1.20 states/eV/atom
Relative energy among the computed polymorphs = 111 meV per atom
Theoretical density = 9.2 g/cm³
E_form (uncorrected) = 0.64 eV per atom

Cell: 8.3358 8.3358 8.3358 Å, 20.29 20.29 20.29°
Fractional coordinates of all 4 atoms:
Fe 0.0000 0.0000 0.0000
Ru 0.2552 0.2552 0.2552
Ru 0.7448 0.7448 0.7448
Br 0.5000 0.5000 0.5000



Entry 3:
VASP calculation (PBE) on a relaxed structure of FeRu2Br.

Computed properties:
Uncorrected energy = -25.36 eV/f.u.
Calculated volume = 59 Å³ per cell
D(E_F) = 1.20 states/eV/atom
Relative energy among the computed polymorphs = 306 meV per atom
Theoretical density = 9.4 g/cm³
E_form (uncorrected) = 0.83 eV per atom

Cell: 4.4420 4.4420 3.0141 Å, 90.00 90.00 90.00°
Fractional coordinates of all 4 atoms:
Fe 0.0000 0.0000 0.0000
Ru 0.0000 0.5000 0.5000
Ru 0.5000 0.0000 0.5000
Br 0.5000 0.5000 0.0000



Entry 4:
VASP calculation (PBE) on a relaxed structure of Fe2RuBr.

Computed properties:
Uncorrected energy = -24.89 eV/f.u.
Calculated volume = 61 Å³ per cell
D(E_F) = 1.10 states/eV/atom
Relative energy among the computed polymorphs = 319 meV per atom
Theoretical density = 8.0 g/cm³
E_form (uncorrected) = 0.75 eV per atom

Cell: 4.5909 4.5909 3.0388 Å, 90.00 90.00 109.14°
Fractional coordinates of all 4 atoms:
Fe 0.0000 0.5000 0.0000
Fe 0.5000 0.0000 0.0000
Ru 0.0000 0.0000 0.5000
Br 0.5000 0.5000 0.5000



Entry 5:
VASP calculation (PBE) on a relaxed structure of FeRu2Br.

Computed properties:
Uncorrected energy = -25.90 eV/f.u.
Calculated volume = 62 Å³ per cell
D(E_F) = 0.97 states/eV/atom
Relative energy among the computed polymorphs = 172 meV per atom
Theoretical density = 9.1 g/cm³
E_form (uncorrected) = 0.70 eV per atom

Cell: 4.3761 4.3761 5.1657 Å, 100.64 100.64 39.71°
Fractional coordinates of all 4 atoms:
Fe 0.0000 0.0000 0.0000
Ru 0.2599 0.2599 0.7905
Ru 0.7401 0.7401 0.2095
Br 0.5000 0.5000 0.5000



Entry 6:
VASP calculation (PBE) on a relaxed structure of FeRu2Br.

Computed properties:
Uncorrected energy = -25.50 eV/f.u.
Calculated volume = 59 Å³ per cell
D(E_F) = 1.05 states/eV/atom
Relative energy among the computed polymorphs = 271 meV per atom
Theoretical density = 9.5 g/cm³
E_form (uncorrected) = 0.80 eV per atom

Cell: 5.2871 5.2871 5.2871 Å, 147.88 130.56 60.19°
Fractional coordinates of all 4 atoms:
Fe 0.0000 0.0000 0.0000
Ru 0.2676 0.7676 0.5000
Ru 0.5226 0.5226 0.0000
Br 0.7556 0.2556 0.5000



Entry 7:
VASP calculation (PBE) on a relaxed structure of FeRuBr3.

Computed properties:
Uncorrected energy = -19.14 eV/f.u.
Calculated volume = 130 Å³ per cell
D(E_F) = 3.91 states/eV/atom
Theoretical density = 5.1 g/cm³
E_form (uncorrected) = 0.72 eV per atom

Cell: 5.0694 5.0694 5.0694 Å, 90.00 90.00 90.00°
Fractional coordinates of all 5 atoms:
Fe 0.0000 0.0000 0.0000
Ru 0.5000 0.5000 0.5000
Br 0.0000 0.5000 0.5000
Br 0.5000 0.0000 0.5000
Br 0.5000 0.5000 0.0000



Entry 8:
VASP calculation (PBE) on a relaxed structure of FeRu2Br.

Computed properties:
Uncorrected energy = -26.59 eV/f.u.
Calculated volume = 66 Å³ per cell
D(E_F) = 1.42 states/eV/atom
Relative energy among the computed polymorphs = 0 meV per atom
Theoretical density = 8.5 g/cm³
E_form (uncorrected) = 0.53 eV per atom

Cell: 2.9752 2.9394 7.5602 Å, 90.00 91.02 90.00°
Fractional coordinates of all 4 atoms:
Fe 0.0000 0.0000 0.0000
Ru 0.0286 0.0000 0.5753
Ru 0.5518 0.5000 0.7829
Br 0.0196 0.5000 0.2846



Entry 9:
VASP calculation (PBE) on a relaxed structure of Fe4RuBr.

Computed properties:
Uncorrected energy = -40.88 eV/f.u.
Calculated volume = 86 Å³ per cell
D(E_F) = 0.35 states/eV/atom
Theoretical density = 7.8 g/cm³
E_form (uncorrected) = 0.65 eV per atom

Cell: 4.9473 4.9473 4.9473 Å, 60.00 60.00 60.00°
Fractional coordinates of all 6 atoms:
Fe 0.1241 0.1241 0.1241
Fe 0.1241 0.1241 0.6276
Fe 0.1241 0.6276 0.1241
Fe 0.6276 0.1241 0.1241
Ru 0.7500 0.7500 0.7500
Br 0.5000 0.5000 0.5000



Entry 10:
VASP calculation (PBE) on a relaxed structure of FeRu2Br.

Computed properties:
Uncorrected energy = -25.62 eV/f.u.
Calculated volume = 61 Å³ per cell
D(E_F) = 1.06 states/eV/atom
Relative energy among the computed polymorphs = 242 meV per atom
Theoretical density = 9.2 g/cm³
E_form (uncorrected) = 0.77 eV per atom

Cell: 5.0389 5.0389 4.3477 Å, 92.64 92.64 33.67°
Fractional coordinates of all 4 atoms:
Fe 0.0000 0.0000 0.0000
Ru 0.2912 0.2912 0.7346
Ru 0.5610 0.5610 0.5535
Br 0.7735 0.7735 0.2416



Entry 11:
VASP calculation (PBE) on a relaxed structure of Fe2RuBr.

Computed properties:
Uncorrected energy = -24.90 eV/f.u.
Calculated volume = 59 Å³ per cell
D(E_F) = 1.12 states/eV/atom
Relative energy among the computed polymorphs = 318 meV per atom
Theoretical density = 8.2 g/cm³
E_form (uncorrected) = 0.74 eV per atom

Cell: 5.1758 5.1758 5.1758 Å, 146.36 128.91 62.57°
Fractional coordinates of all 4 atoms:
Fe 0.0000 0.0000 0.0000
Fe 0.7605 0.2605 0.5000
Ru 0.2502 0.7502 0.5000
Br 0.4958 0.4958 0.0000



Entry 12:
VASP calculation (PBE) on a relaxed structure of Fe2RuBr.

Computed properties:
Uncorrected energy = -25.67 eV/f.u.
Calculated volume = 60 Å³ per cell
D(E_F) = 0.88 states/eV/atom
Relative energy among the computed polymorphs = 125 meV per atom
Theoretical density = 8.1 g/cm³
E_form (uncorrected) = 0.55 eV per atom

Cell: 8.0454 8.0454 8.0454 Å, 21.22 21.22 21.22°
Fractional coordinates of all 4 atoms:
Fe 0.0000 0.0000 0.0000
Fe 0.2572 0.2572 0.2572
Ru 0.5118 0.5118 0.5118
Br 0.7501 0.7501 0.7501